! AcEuMgSb GGA-PBE relaxed; values from VASP
&SYSTEM
  ibrav = 0, nat = 4, ntyp = 4
/
ATOMIC_SPECIES
Ac 227.00 Ac.upf
Eu 151.96 Eu.upf
Mg 24.30 Mg.upf
Sb 121.76 Sb.upf
ATOMIC_POSITIONS crystal
Ac 0.000 0.000 0.000
Eu 0.500 0.500 0.500
Mg 0.750 0.750 0.750
Sb 0.250 0.250 0.250
CELL_PARAMETERS angstrom
0.000 4.027 4.027
4.027 0.000 4.027
4.027 4.027 0.000
! Space group = F-43m (216)
! Uncorrected formation energy = -44.04 kJ/mol of atoms
! Total moment = 7.87 μB per formula unit